Compound: Ac8IrPdRh2
Source: Alexandria via LeMat-Bulk
Functional: PBE
Structure: relaxed

POSCAR file:
```
Ac8IrPdRh2
1.0
7.212 -0.023 -0.005
0.035 7.056 -0.009
0.006 0.011 8.831
Ac Ir Pd Rh
8 1 1 2
direct
0.173 0.764 0.243
0.675 0.731 0.000
0.827 0.236 0.243
0.827 0.236 0.757
0.325 0.269 0.000
0.173 0.764 0.757
0.666 0.727 0.500
0.334 0.273 0.500
0.000 0.000 0.000
0.000 0.000 0.500
0.500 0.500 0.750
0.500 0.500 0.250
```

Computed properties:
crystal system: monoclinic
total magnetization: 0.000 μB per atom
SG: P2/m
energy relative to the elements: -541 meV/atom

Compound: Sm2PuHg
Source: Alexandria via LeMat-Bulk
Functional: PBE
Structure: relaxed

POSCAR file:
```
Sm2PuHg
1.0
-1.342 -2.646 -2.113
-1.141 -3.121 1.493
-10.462 2.111 0.861
Sm Pu Hg
2 1 1
direct
0.079 0.079 0.764
0.255 0.255 0.235
0.500 0.500 0.501
0.667 0.667 0.999
```

Computed properties:
crystal system: trigonal
total magnetization: 1.626 μB per atom
SG: R3m
polymorph energy (0 for the lowest one): 73 meV/atom
energy relative to the elements: -51 meV/atom

Compound: Ac2SmPu
Source: Alexandria via LeMat-Bulk
Functional: PBE
Structure: relaxed

POSCAR file:
```
Ac2SmPu
1.0
-0.118 3.711 0.243
-1.627 1.989 -2.690
-11.975 1.124 5.499
Ac Sm Pu
2 1 1
direct
0.088 0.088 0.736
0.912 0.912 0.264
0.500 0.500 0.500
0.000 0.000 0.000
```

Computed properties:
crystal system: trigonal
total magnetization: 1.676 μB per atom
SG: R-3m
polymorph energy (0 for the lowest one): 183 meV/atom
energy relative to the elements: 341 meV/atom